--- w ---
## Li4VP2O8 (SCAN)

Data for Li4VP2O8 at its PBEsol-relaxed geometry.

Unit cell a=4.841 b=5.135 c=6.157 alpha=94.93 beta=93.60 gamma=99.24
Space group P-1 (No. 2)
One atom of each set of equivalent atoms:
Li (0.157, 0.294, 0.024) x2
Li (0.332, 0.609, 0.699) x2
V (0.000, 0.000, 0.500) x1
P (0.368, 0.822, 0.230) x2
O (0.215, 0.683, 0.414) x2
O (0.246, 0.681, 0.006) x2
O (0.301, 0.110, 0.258) x2
O (0.314, 0.191, 0.745) x2

--- x ---
## Li4VP2O8 (SCAN)

Data for Li4VP2O8 at its PBEsol-relaxed geometry.

Unit cell a=8.121 b=10.096 c=8.346 alpha=90.00 beta=107.51 gamma=90.00
Space group P2_1/c (No. 14)
One atom of each set of equivalent atoms:
Li (0.013, 0.075, 0.256) x4
Li (0.101, 0.161, 0.606) x4
Li (0.157, 0.662, 0.663) x4
Li (0.342, 0.164, 0.356) x4
V (0.382, 0.643, 0.366) x4
P (0.212, 0.091, 0.982) x4
P (0.279, 0.583, 0.038) x4
O (0.064, 0.108, 0.815) x4
O (0.158, 0.642, 0.136) x4
O (0.159, 0.154, 0.129) x4
O (0.211, 0.055, 0.471) x4
O (0.244, 0.560, 0.515) x4
O (0.284, 0.675, 0.894) x4
O (0.375, 0.159, 0.961) x4
O (0.461, 0.578, 0.172) x4

Q: Which of them is the most stable? A: w.

--- w ---
## LiVPO4 (SCAN)

Data for LiVPO4 at its PBEsol-relaxed geometry.

Unit cell a=5.526 b=6.398 c=9.204 alpha=72.62 beta=79.24 gamma=74.02
Space group P-1 (No. 2)
One atom of each set of equivalent atoms:
Li (0.169, 0.133, 0.140) x2
Li (0.303, 0.966, 0.766) x2
V (0.220, 0.329, 0.424) x2
V (0.299, 0.444, 0.792) x2
P (0.152, 0.682, 0.090) x2
P (0.321, 0.800, 0.456) x2
O (0.119, 0.446, 0.197) x2
O (0.125, 0.169, 0.905) x2
O (0.149, 0.648, 0.456) x2
O (0.202, 0.043, 0.375) x2
O (0.235, 0.675, 0.921) x2
O (0.339, 0.772, 0.145) x2
O (0.373, 0.758, 0.627) x2
O (0.402, 0.258, 0.626) x2

--- x ---
## LiVPO4 (SCAN)

Data for LiVPO4 at its PBEsol-relaxed geometry.

Unit cell a=5.522 b=11.323 c=9.145 alpha=90.00 beta=90.00 gamma=90.00
Space group Fdd2 (No. 43)
One atom of each set of equivalent atoms:
Li (0.000, 0.000, 0.000) x8
V (0.000, 0.000, 0.368) x8
P (0.000, 0.000, 0.680) x8
O (0.077, 0.178, 0.028) x16
O (0.100, 0.327, 0.821) x16

Q: Which of them is the most stable? A: w.